First-principles (PBE-GGA) data for an optimized crystal structure of Cr2CoAu, as listed in the Alexandria database.

Lattice parameters (Å, degrees): 2.623 2.623 8.295 90.00 90.00 110.58
Site moments in Bohr magnetons follow the coordinates.
Sites, in units of the cell vectors:
Au 0.000 0.000 0.501  0.00
Co 0.500 0.500 0.776  1.53
Cr 0.000 0.000 0.004  0.21
Cr 0.500 0.500 0.219  -0.25

Properties
For the total magnetization, the calculation gives 0.361 μB/atom. The energy relative to the lowest polymorph listed for this composition is 144.1 meV per atom. Its space group is No. 35. For the energy of formation from the pure elements, the calculation gives 0.3096 eV per atom.